(1)
Entry from the Alexandria database: an optimized crystal structure of Tc2AgW (GGA-PBE).

a b c (Å): 2.7060 2.7060 9.4117
angles (deg): 90.00 90.00 112.46
Fractional positions:
Tc (0.0000, 0.0000, 0.0000)
Tc (0.5000, 0.5000, 0.2311)
Ag (0.0000, 0.0000, 0.4963)
W (0.5000, 0.5000, 0.7638)

crystal system: orthorhombic
energy relative to the lowest polymorph listed for this composition: 116 meV/atom
formation energy from the elements: 0.410 eV/atom

(2)
Entry from the Alexandria database: an optimized crystal structure of Ac2Ga3Pd2 (GGA-PBE).

a b c (Å): 6.0220 6.0220 7.4338
angles (deg): 116.18 116.18 42.45
Fractional positions:
Ac (0.1396, 0.1396, 0.2689)
Ac (0.8604, 0.8604, 0.7311)
Ga (0.3614, 0.3614, 0.0686)
Ga (0.5000, 0.5000, 0.5000)
Ga (0.6386, 0.6386, 0.9314)
Pd (0.1360, 0.1360, 0.7136)
Pd (0.8640, 0.8640, 0.2864)

crystal system: monoclinic
energy relative to the lowest polymorph listed for this composition: 0 meV/atom
formation energy from the elements: -0.695 eV/atom

(3)
Entry from the Alexandria database: an optimized crystal structure of LiEr2Ge3Pt4 (GGA-PBE).

a b c (Å): 4.0637 4.0637 11.0202
angles (deg): 90.00 90.00 90.00
Fractional positions:
Li (0.0000, 0.0000, 0.0000)
Er (0.0000, 0.5000, 0.7512)
Er (0.5000, 0.0000, 0.2488)
Ge (0.0000, 0.5000, 0.3618)
Ge (0.5000, 0.0000, 0.6382)
Ge (0.5000, 0.5000, 0.0000)
Pt (0.0000, 0.0000, 0.5000)
Pt (0.0000, 0.5000, 0.1430)
Pt (0.5000, 0.0000, 0.8570)
Pt (0.5000, 0.5000, 0.5000)

crystal system: tetragonal
formation energy from the elements: -0.880 eV/atom

(4)
Entry from the Alexandria database: an optimized crystal structure of Pr7Te2Au2 (GGA-PBE).

a b c (Å): 9.9380 9.9380 9.9380
angles (deg): 155.66 66.39 119.30
Fractional positions:
Pr (0.0000, 0.0000, 0.0000)
Pr (0.0628, 0.3802, 0.6826)
Pr (0.1050, 0.7448, 0.3602)
Pr (0.3846, 0.7448, 0.6398)
Pr (0.4657, 0.5876, 0.8781)
Pr (0.6976, 0.3802, 0.3174)
Pr (0.7095, 0.5876, 0.1219)
Te (0.3334, 0.3334, 0.0000)
Te (0.7423, 0.2423, 0.5000)
Au (0.3187, 0.0799, 0.2388)
Au (0.8412, 0.0799, 0.7612)

crystal system: orthorhombic
formation energy without anion corrections: -0.804 eV per atom

(5)
Entry from the Alexandria database: an optimized crystal structure of Li3Si4Pt2 (GGA-PBE).

a b c (Å): 5.5022 5.5022 7.8081
angles (deg): 106.94 106.94 41.41
Fractional positions:
Li (0.0000, 0.0000, 0.0000)
Li (0.3848, 0.3848, 0.3015)
Li (0.6152, 0.6152, 0.6985)
Si (0.0866, 0.0866, 0.4292)
Si (0.2724, 0.2724, 0.9290)
Si (0.7276, 0.7276, 0.0710)
Si (0.9134, 0.9134, 0.5708)
Pt (0.3186, 0.3186, 0.6532)
Pt (0.6814, 0.6814, 0.3468)

crystal system: monoclinic
formation energy without anion corrections: -0.493 eV per atom

(6)
Entry from the Alexandria database: an optimized crystal structure of PrThPtAu (GGA-PBE).

a b c (Å): 5.2012 5.2012 5.2012
angles (deg): 60.00 60.00 60.00
Fractional positions:
Pr (0.0000, 0.0000, 0.0000)
Th (0.5000, 0.5000, 0.5000)
Pt (0.2500, 0.2500, 0.2500)
Au (0.7500, 0.7500, 0.7500)

crystal system: cubic
energy relative to the lowest polymorph listed for this composition: 156 meV/atom
formation energy from the elements: -0.810 eV/atom

(7)
Entry from the Alexandria database: an optimized crystal structure of TlCd2Cu (GGA-PBE).

a b c (Å): 5.0036 5.0036 5.0036
angles (deg): 60.00 60.00 60.00
Fractional positions:
Tl (0.0000, 0.0000, 0.0000)
Cd (0.2500, 0.2500, 0.2500)
Cd (0.7500, 0.7500, 0.7500)
Cu (0.5000, 0.5000, 0.5000)

crystal system: cubic
energy relative to the lowest polymorph listed for this composition: 171 meV/atom
formation energy from the elements: 0.258 eV/atom

(8)
Entry from the Alexandria database: an optimized crystal structure of KNa3Tl2 (GGA-PBE).

a b c (Å): 11.8078 11.8078 5.3948
angles (deg): 90.00 90.00 120.00
Fractional positions:
K (0.0000, 0.0000, 0.0000)
K (0.3333, 0.6667, 0.5000)
K (0.6667, 0.3333, 0.5000)
Na (0.0000, 0.2967, 0.5000)
Na (0.0000, 0.5000, 0.0000)
Na (0.0000, 0.7033, 0.5000)
Na (0.2967, 0.0000, 0.5000)
Na (0.2967, 0.2967, 0.5000)
Na (0.5000, 0.0000, 0.0000)
Na (0.5000, 0.5000, 0.0000)
Na (0.7033, 0.0000, 0.5000)
Na (0.7033, 0.7033, 0.5000)
Tl (0.1813, 0.3625, 0.0000)
Tl (0.1813, 0.8187, 0.0000)
Tl (0.3625, 0.1813, 0.0000)
Tl (0.6375, 0.8187, 0.0000)
Tl (0.8187, 0.1813, 0.0000)
Tl (0.8187, 0.6375, 0.0000)

crystal system: hexagonal
energy relative to the lowest polymorph listed for this composition: 4 meV/atom
formation energy from the elements: -0.070 eV/atom

(9)
Entry from the Alexandria database: an optimized crystal structure of SrGaBr2 (GGA-PBE).

a b c (Å): 10.3301 10.3301 10.3301
angles (deg): 148.83 148.83 44.67
Fractional positions:
Sr (0.0000, 0.0000, 0.0000)
Sr (0.7500, 0.2500, 0.5000)
Ga (0.2500, 0.7500, 0.5000)
Ga (0.5000, 0.5000, 0.0000)
Br (0.1139, 0.6250, 0.9889)
Br (0.3750, 0.3639, 0.4889)
Br (0.6361, 0.1250, 0.0111)
Br (0.8750, 0.8861, 0.5111)

crystal system: tetragonal
energy relative to the lowest polymorph listed for this composition: 176 meV/atom
formation energy without anion corrections: -0.975 eV per atom

(10)
Entry from the Alexandria database: an optimized crystal structure of Mg4AsCl (GGA-PBE).

a b c (Å): 5.7715 5.7715 5.7715
angles (deg): 60.00 60.00 60.00
Fractional positions:
Mg (0.1234, 0.1234, 0.1234)
Mg (0.1234, 0.1234, 0.6298)
Mg (0.1234, 0.6298, 0.1234)
Mg (0.6298, 0.1234, 0.1234)
As (0.7500, 0.7500, 0.7500)
Cl (0.5000, 0.5000, 0.5000)

crystal system: cubic
formation energy without anion corrections: -0.072 eV per atom

(11)
Entry from the Alexandria database: an optimized crystal structure of BaSn4Ir2 (GGA-PBE).

a b c (Å): 8.7228 8.7228 4.4595
angles (deg): 90.00 90.00 90.00
Fractional positions:
Ba (0.0000, 0.0000, 0.0000)
Ba (0.5000, 0.5000, 0.5000)
Sn (0.0744, 0.3223, 0.5000)
Sn (0.1777, 0.5744, 0.0000)
Sn (0.3223, 0.0744, 0.5000)
Sn (0.4256, 0.8223, 0.0000)
Sn (0.5744, 0.1777, 0.0000)
Sn (0.6777, 0.9256, 0.5000)
Sn (0.8223, 0.4256, 0.0000)
Sn (0.9256, 0.6777, 0.5000)
Ir (0.2265, 0.7735, 0.5000)
Ir (0.2735, 0.2735, 0.0000)
Ir (0.7265, 0.7265, 0.0000)
Ir (0.7735, 0.2265, 0.5000)

crystal system: tetragonal
energy relative to the lowest polymorph listed for this composition: 170 meV/atom
formation energy from the elements: -0.242 eV/atom

(12)
Entry from the Alexandria database: an optimized crystal structure of Zn3Cd2Ag4 (GGA-PBE).

a b c (Å): 4.0929 5.0616 8.7622
angles (deg): 73.37 89.74 66.29
Fractional positions:
Zn (0.0000, 0.0000, 0.0000)
Zn (0.3429, 0.3129, 0.4450)
Zn (0.6571, 0.6871, 0.5550)
Cd (0.3215, 0.3566, 0.7713)
Cd (0.6785, 0.6434, 0.2287)
Ag (0.0143, 0.9711, 0.3405)
Ag (0.3421, 0.3165, 0.1105)
Ag (0.6579, 0.6835, 0.8895)
Ag (0.9857, 0.0289, 0.6595)

crystal system: triclinic
energy relative to the lowest polymorph listed for this composition: 0 meV/atom
formation energy from the elements: -0.016 eV/atom

no.,DOS at the Fermi energy (states/eV/cell),uncorrected energy (eV/atom)
1,4.4,-8.7237
2,4.0,-4.6492
3,5.4,-5.7859
4,13.4,-5.0130
5,2.0,-4.8837
6,3.5,-6.1898
7,1.4,-1.8150
8,7.3,-1.7015
9,11.5,-2.9882
10,1.1,-2.2176
11,9.1,-5.3362
12,1.5,-1.9114